First-principles (GGA-PBE) data for an optimized crystal structure of YTeW2, as listed in Alexandria via LeMat-Bulk.

Results
- Density of states at the Fermi level: 1.169 states/eV/atom
- E: -33.47 eV/cell
- ΔE_f (raw): 0.511 eV/atom
- V: 20.54 A^3/atom
- Crystal system: tetragonal

a = 5.885 Å, b = 5.885 Å, c = 5.885 Å
α = 140.39°, β = 140.39°, γ = 57.26°
Fractional coordinates of all 4 atoms:
Te: 0.750 0.250 0.500
W: 0.000 0.000 0.000
W: 0.500 0.500 0.000
Y: 0.250 0.750 0.500

First-principles (GGA-PBE) data for an optimized crystal structure of YTe2W, as listed in Alexandria via LeMat-Bulk.

Results
- Density of states at the Fermi level: 1.153 states/eV/atom
- E: -25.19 eV/cell
- ΔE_f (raw): 0.128 eV/atom
- V: 26.46 A^3/atom
- Crystal system: trigonal

a = 10.138 Å, b = 10.138 Å, c = 10.138 Å
α = 19.92°, β = 19.92°, γ = 19.92°
Fractional coordinates of all 4 atoms:
Y: 0.000 0.000 0.000
Te: 0.896 0.896 0.896
Te: 0.104 0.104 0.104
W: 0.500 0.500 0.500

First-principles (GGA-PBE) data for an optimized crystal structure of YTe2W, as listed in Alexandria via LeMat-Bulk.

Results
- Density of states at the Fermi level: 0.994 states/eV/atom
- E: -23.48 eV/cell
- ΔE_f (raw): 0.556 eV/atom
- V: 23.52 A^3/atom
- Crystal system: cubic

a = 5.105 Å, b = 5.105 Å, c = 5.105 Å
α = 60.00°, β = 60.00°, γ = 60.00°
Fractional coordinates of all 4 atoms:
Te: 0.000 0.000 0.000
Te: 0.250 0.250 0.250
W: 0.500 0.500 0.500
Y: 0.750 0.750 0.750

First-principles (GGA-PBE) data for an optimized crystal structure of YTe2W, as listed in Alexandria via LeMat-Bulk.

Results
- Density of states at the Fermi level: 0.658 states/eV/atom
- E: -25.73 eV/cell
- ΔE_f (raw): -0.006 eV/atom
- V: 27.98 A^3/atom
- Crystal system: trigonal

a = 11.016 Å, b = 11.016 Å, c = 11.016 Å
α = 18.04°, β = 18.04°, γ = 18.04°
Fractional coordinates of all 4 atoms:
Te: 0.017 0.017 0.017
Te: 0.224 0.224 0.224
W: 0.499 0.499 0.499
Y: 0.760 0.760 0.760